Below is a geometry-optimized Ca2PbS2 structure, with properties calculated at the PBE level.

Lattice parameters (Å, degrees): 8.0220 8.0220 3.7435 90.00 90.00 90.00
Atoms (fractional coordinates):
Ca: 0.1560 0.3440 0.0000
Ca: 0.3440 0.8440 0.0000
Ca: 0.6560 0.1560 0.0000
Ca: 0.8440 0.6560 0.0000
Pb: 0.0000 0.0000 0.5000
Pb: 0.5000 0.5000 0.5000
S: 0.1500 0.6500 0.5000
S: 0.3500 0.1500 0.5000
S: 0.6500 0.8500 0.5000
S: 0.8500 0.3500 0.5000

Values from the calculation:
DOS at the Fermi energy ... 3.74 states/eV/cell
Total magnetic moment ... 0.000 μB per cell
E_tot ... -4.468 eV/atom
Raw formation energy ... -1.275 eV per atom
Crystal system ... tetragonal